No. 1
SrScOs after structural relaxation, computed with GGA-PBE.

Computed properties:
* ΔE_f: 0.398 eV per atom
* density: 6832 kg/m3
* polymorph energy (0 for the lowest one): 75 kJ/mol of formula units
* total energy: -0.4422 Ry/atom

a b c (Å): 4.4724 4.4724 4.5293
angles (deg): 90.00 90.00 120.00
Closest atoms and distances in Å follow each position.
Space group P-6m2 (No. 187)
One atom of each set of equivalent atoms:
1 Sr 0.0000 0.0000 0.0000 x1  6 Sc 3.43, 6 Os 3.43
2 Sc 0.3333 0.6667 0.5000 x1  3 Os 2.58
3 Os 0.6667 0.3333 0.5000 x1  3 Sc 2.58

***

No. 2
KPmAgSn after structural relaxation, computed with GGA-PBE.

Computed properties:
* ΔE_f: -0.153 eV per atom
* density: 5844 kg/m3
* total energy: -0.2446 Ry/atom

a b c (Å): 7.7571 7.7571 7.7571
angles (deg): 90.00 90.00 90.00
Closest atoms and distances in Å follow each position.
Space group F-43m (No. 216)
One atom of each set of equivalent atoms:
1 K 0.0000 0.0000 0.0000 x4  4 Ag 3.36, 4 Sn 3.36
2 Pm 0.0000 0.0000 0.5000 x4  4 Sn 3.36, 4 Ag 3.36
3 Ag 0.2500 0.2500 0.2500 x4  4 Pm 3.36, 4 K 3.36
4 Sn 0.2500 0.2500 0.7500 x4  4 K 3.36, 4 Pm 3.36

***

No. 3
SiBrCl2 after structural relaxation, computed with GGA-PBE.

Computed properties:
* formation energy from raw total energies: -0.2 kJ/mol of atoms
* density: 2813 kg/m3
* polymorph energy (0 for the lowest one): 231 kJ/mol of formula units
* total energy: -0.1984 Ry/atom

a b c (Å): 3.1720 3.1720 36.3608
angles (deg): 90.00 90.00 120.00
Closest atoms and distances in Å follow each position.
Space group R-3m (No. 166, hexagonal axes)
One atom of each set of equivalent atoms:
1 Si 0.0000 0.0000 0.0000 x3  2 Cl 2.06
2 Br 0.0000 0.0000 0.5000 x3  6 Br 3.17
3 Cl 0.0000 0.0000 0.0568 x6  1 Si 2.06

***

No. 4
SrPuCu2 after structural relaxation, computed with GGA-PBE.

Computed properties:
* ΔE_f: 0.084 eV per atom
* density: 7993 kg/m3
* total energy: -0.4386 Ry/atom

a b c (Å): 3.6199 3.6199 7.2722
angles (deg): 90.00 90.00 90.00
Closest atoms and distances in Å follow each position.
Space group P4/mmm (No. 123)
One atom of each set of equivalent atoms:
1 Sr 0.0000 0.0000 0.0000 x1  8 Cu 3.35, 4 Sr 3.62, 2 Pu 3.64
2 Pu 0.0000 0.0000 0.5000 x1  8 Cu 2.95
3 Cu 0.5000 0.5000 0.2979 x2  1 Cu 2.94, 4 Pu 2.95

***

No. 5
Ba2AgPt after structural relaxation, computed with GGA-PBE.

Computed properties:
* ΔE_f: -0.484 eV per atom
* density: 7567 kg/m3
* total energy: -0.2696 Ry/atom

a b c (Å): 3.9543 3.9505 8.1144
angles (deg): 90.00 90.08 90.00
Closest atoms and distances in Å follow each position.
Space group P2/m (No. 10)
One atom of each set of equivalent atoms:
1 Ba 0.0001 0.0000 0.2269 x2  4 Pt 3.35, 4 Ag 3.56-3.57, 1 Ba 3.68
2 Ag 0.5000 0.5000 0.5000 x1  8 Ba 3.56-3.57, 4 Ag 3.95
3 Pt 0.5000 0.5000 0.0000 x1  8 Ba 3.35

***

No. 6
Pr8InRu2 after structural relaxation, computed with GGA-PBE.

Computed properties:
* ΔE_f: -0.130 eV per atom
* density: 7003 kg/m3
* total energy: -0.4073 Ry/atom

a b c (Å): 8.9153 13.9237 5.6824
angles (deg): 90.00 103.84 90.00
Closest atoms and distances in Å follow each position.
Space group C2/m (No. 12)
One atom of each set of equivalent atoms:
1 Pr 0.0000 0.2487 0.0000 x4  2 Ru 2.92
2 Pr 0.1049 0.5000 0.8004 x4  4 Pr 3.27-3.48, 2 Ru 3.31, 1 In 3.43
3 Pr 0.2010 0.1268 0.5571 x8  2 Ru 2.95-2.96
4 In 0.0000 0.0000 0.0000 x2  8 Pr 3.43-3.69
5 Ru 0.0000 0.2975 0.5000 x4  6 Pr 2.92-2.96